# 1
Here is a relaxed structure of CsAs2Cl2 from the Alexandria database. Energies are from PBE-GGA.

a = 3.8697 Å, b = 3.8697 Å, c = 18.8919 Å
α = 90.00°, β = 90.00°, γ = 90.00°
Last column: nearest neighbours and their distance in Å.
Space group I4/mmm (No. 139)
Asymmetric unit:
Cs (0.0000, 0.0000, 0.0000)  8 Cl 3.47, 4 Cs 3.87
As (0.0000, 0.5000, 0.2500)  4 As 2.74
Cl (0.0000, 0.0000, 0.3872)  4 As 3.23, 4 Cs 3.47

Calculated values
Calculated total energy in eV/atom: -3.289

---

# 2
Here is a relaxed structure of Tb3Pm2Pd2 from the Alexandria database. Energies are from PBE-GGA.

a = 12.5847 Å, b = 3.7599 Å, c = 9.1660 Å
α = 90.00°, β = 117.17°, γ = 90.00°
Last column: nearest neighbours and their distance in Å.
Space group C2/m (No. 12)
Asymmetric unit:
Tb (0.0000, 0.0000, 0.0000)  4 Pd 2.91
Tb (0.1150, 0.0000, 0.4416)  3 Pd 2.92-2.97
Pm (0.1551, 0.5000, 0.8125)  2 Pd 3.13
Pd (0.1656, 0.5000, 0.2378)  5 Tb 2.91-2.97, 2 Pm 3.13

Calculated values
Energy relative to the elements in meV/atom: -506.9

---

# 3
Here is a relaxed structure of Ba3Mg2Zn2 from the Alexandria database. Energies are from PBE-GGA.

a = 7.2416 Å, b = 8.3675 Å, c = 16.4738 Å
α = 90.00°, β = 90.00°, γ = 90.00°
Last column: nearest neighbours and their distance in Å.
Space group Pbcm (No. 57)
Asymmetric unit:
Ba (0.0892, 0.0739, 0.1107)  4 Zn 3.39-3.73, 2 Mg 3.77
Ba (0.3823, 0.7186, 0.2500)  2 Zn 3.33-3.39
Mg (0.3995, 0.0721, 0.5733)  2 Zn 2.84-3.02, 1 Mg 3.07
Zn (0.1788, 0.1389, 0.7500)  6 Ba 3.33-3.49, 2 Mg 3.37
Zn (0.3110, 0.7500, 0.0000)  4 Mg 2.84-3.02

Calculated values
Energy relative to the elements in meV/atom: -95.7

---

# 4
Here is a relaxed structure of BaHfW3 from the Alexandria database. Energies are from PBE-GGA.

a = 5.0357 Å, b = 5.0357 Å, c = 5.0357 Å
α = 90.00°, β = 90.00°, γ = 90.00°
Last column: nearest neighbours and their distance in Å.
Space group Pm-3m (No. 221)
Asymmetric unit:
Ba (0.0000, 0.0000, 0.0000)  12 W 3.56
Hf (0.5000, 0.5000, 0.5000)  6 W 2.52
W (0.0000, 0.5000, 0.5000)  2 Hf 2.52

Calculated values
Energy relative to the elements in meV/atom: 2177.3

---

# 5
Here is a relaxed structure of Li3Cu4Si2 from the Alexandria database. Energies are from PBE-GGA.

a = 8.7750 Å, b = 4.1563 Å, c = 7.4233 Å
α = 90.00°, β = 124.29°, γ = 90.00°
Last column: nearest neighbours and their distance in Å.
Space group C2/m (No. 12)
Asymmetric unit:
Li (0.0000, 0.0000, 0.0000)  2 Li 2.49, 6 Cu 2.54
Li (0.0094, 0.0000, 0.6714)  2 Li 2.46-2.49, 3 Cu 2.58-2.60, 3 Si 2.61-2.69
Cu (0.1575, 0.5000, 0.9834)  2 Si 2.40-2.42, 3 Li 2.54-2.58, 3 Cu 2.56-2.57
Cu (0.1779, 0.5000, 0.6514)  3 Si 2.44, 3 Li 2.54-2.60, 2 Cu 2.57-2.63
Si (0.1619, 0.5000, 0.3123)  5 Cu 2.40-2.44, 2 Li 2.61

Calculated values
Calculated total energy in eV/atom: -3.809

---

# 6
Here is a relaxed structure of SmYCo2 from the Alexandria database. Energies are from PBE-GGA.

a = 6.7731 Å, b = 6.7731 Å, c = 6.7731 Å
α = 90.00°, β = 90.00°, γ = 90.00°
Last column: nearest neighbours and their distance in Å.
Space group Fm-3m (No. 225)
Asymmetric unit:
Sm (0.0000, 0.0000, 0.0000)  8 Co 2.93
Y (0.0000, 0.0000, 0.5000)  8 Co 2.93
Co (0.2500, 0.2500, 0.2500)  4 Sm 2.93, 4 Y 2.93

Calculated values
Energy relative to the elements in meV/atom: -63.6